SmInH: relaxed, PBE.

Properties
- total moment (Bohr magnetons per cell) = 0.0
- calculated density (kg/m³) = 6826
- DFT total energy (eV per atom) = -4.003
- crystal system = trigonal

a = 3.7219 Å, b = 3.7219 Å, c = 5.3978 Å
α = 90.00°, β = 90.00°, γ = 120.00°
Last column: nearest neighbours and their distance in Å.
Positions (direct):
H 0.3333 0.6667 0.4979  3 Sm 2.15
Sm 0.6667 0.3333 0.5011  3 H 2.15
In 0.0000 0.0000 0.0010  6 H 3.44-3.46, 6 Sm 3.45, 6 In 3.72